DFT (GGA-PBE) results for a relaxed Tb5CeTl4 crystal.

Properties
E in eV/cell: -76.620
Calculated formation energy in eV per formula unit: 0.2
Total moment in μB/atom: 0.1023

a b c (Å): 8.406 9.259 8.470
angles (deg): 90.00 90.00 90.00
Space group Pmmn (No. 59, origin choice 2)
Unique sites:
Tb  0.023  0.054  0.234 x8
Tb  0.250  0.250  0.584 x2
Ce  0.250  0.750  0.172 x2
Tl  0.082  0.250  0.937 x4
Tl  0.250  0.586  0.513 x4